[1]
Computed, not measured: a relaxed structure of CrWCl2 at the PBE level of DFT.

CIF file:
```
data_CrWCl2
_chemical_formula_sum 'Cr2 W2 Cl4'
_space_group_name_H-M_alt 'I m m 2'
_space_group_IT_number 44
_cell_length_a 2.981
_cell_length_b 3.033
_cell_length_c 17.353
_cell_angle_alpha 90.00
_cell_angle_beta 90.00
_cell_angle_gamma 90.00
loop_
_space_group_symop_operation_xyz
'x,y,z'
'-x,-y,z'
'-x,y,z'
'x,-y,z'
'x+1/2,y+1/2,z+1/2'
'-x+1/2,-y+1/2,z+1/2'
'-x+1/2,y+1/2,z+1/2'
'x+1/2,-y+1/2,z+1/2'
loop_
_atom_site_label
_atom_site_type_symbol
_atom_site_fract_x
_atom_site_fract_y
_atom_site_fract_z
Cr1 Cr 0.000 0.000 0.000
W1 W 0.000 0.500 0.895
Cl1 Cl 0.000 0.000 0.586
Cl2 Cl 0.000 0.500 0.298
```

Output
uncorrected formation energy	0.205	eV per atom
relative energy among the computed polymorphs	142	kJ/mol of formula units



[2]
Computed, not measured: a relaxed structure of ErZrInGa at the PBE level of DFT.

CIF file:
```
data_ErZrInGa
_chemical_formula_sum 'Er4 Zr4 In4 Ga4'
_space_group_name_H-M_alt 'F -4 3 m'
_space_group_IT_number 216
_space_group_name_Hall 'F -4 2 3'
_cell_length_a 7.105
_cell_length_b 7.105
_cell_length_c 7.105
_cell_angle_alpha 90.00
_cell_angle_beta 90.00
_cell_angle_gamma 90.00
loop_
_atom_site_label
_atom_site_type_symbol
_atom_site_fract_x
_atom_site_fract_y
_atom_site_fract_z
Er1 Er 0.000 0.000 0.000
Zr1 Zr 0.000 0.000 0.500
In1 In 0.250 0.250 0.750
Ga1 Ga 0.250 0.250 0.250
```



[3]
Computed, not measured: a relaxed structure of B2MoOs at the PBE level of DFT.

CIF file:
```
data_B2MoOs
_chemical_formula_sum 'B8 Mo4 Os4'
_space_group_name_H-M_alt 'I -4 2 d'
_space_group_IT_number 122
_space_group_name_Hall 'I -4 2bw'
_cell_length_a 4.584
_cell_length_b 4.584
_cell_length_c 10.361
_cell_angle_alpha 90.00
_cell_angle_beta 90.00
_cell_angle_gamma 90.00
loop_
_atom_site_label
_atom_site_type_symbol
_atom_site_fract_x
_atom_site_fract_y
_atom_site_fract_z
B1 B 0.224 0.250 0.125
Mo1 Mo 0.000 0.000 0.500
Os1 Os 0.000 0.000 0.000
```

Output
relative energy among the computed polymorphs	251	kJ/mol of formula units



[4]
Computed, not measured: a relaxed structure of Sc2CrIr at the PBE level of DFT.

CIF file:
```
data_Sc2CrIr
_chemical_formula_sum 'Sc8 Cr4 Ir4'
_space_group_name_H-M_alt 'F -4 3 m'
_space_group_IT_number 216
_space_group_name_Hall 'F -4 2 3'
_cell_length_a 6.512
_cell_length_b 6.512
_cell_length_c 6.512
_cell_angle_alpha 90.00
_cell_angle_beta 90.00
_cell_angle_gamma 90.00
loop_
_atom_site_label
_atom_site_type_symbol
_atom_site_fract_x
_atom_site_fract_y
_atom_site_fract_z
Sc1 Sc 0.000 0.000 0.000
Sc2 Sc 0.250 0.250 0.250
Cr1 Cr 0.250 0.250 0.750
Ir1 Ir 0.000 0.000 0.500
```



[5]
Computed, not measured: a relaxed structure of Pr2Tm3Pb2 at the PBE level of DFT.

CIF file:
```
data_Pr2Tm3Pb2
_chemical_formula_sum 'Pr4 Tm6 Pb4'
_space_group_name_H-M_alt 'C 1 2/m 1'
_space_group_IT_number 12
_cell_length_a 12.406
_cell_length_b 4.474
_cell_length_c 8.687
_cell_angle_alpha 90.00
_cell_angle_beta 112.15
_cell_angle_gamma 90.00
loop_
_space_group_symop_operation_xyz
'x,y,z'
'-x,-y,-z'
'-x,y,-z'
'x,-y,z'
'x+1/2,y+1/2,z'
'-x+1/2,-y+1/2,-z'
'-x+1/2,y+1/2,-z'
'x+1/2,-y+1/2,z'
loop_
_atom_site_label
_atom_site_type_symbol
_atom_site_fract_x
_atom_site_fract_y
_atom_site_fract_z
Pr1 Pr 0.137 0.000 0.295
Tm1 Tm 0.000 0.500 0.500
Tm2 Tm 0.118 0.500 0.941
Pb1 Pb 0.167 0.000 0.712
```



In kg/m3, the calculated density values for the records above are, in order, 6495 8204 9391 8036 8948.
In eV/cell, the total energy values for the records above are, in order, -50.90 -80.70 -129.85 -127.22 -65.23.